1.
VASP calculation (PBE-GGA) on an optimized crystal structure of CdGeC3.

POSCAR file:
```
CdGeC3
1.0
4.0320 0.0000 0.0000
0.0000 4.0320 0.0000
0.0000 0.0000 4.0320
Cd Ge C
1 1 3
Cartesian
0.0000 0.0000 0.0000
2.0160 2.0160 2.0160
0.0000 2.0160 2.0160
2.0160 0.0000 2.0160
2.0160 2.0160 0.0000
```

Summary:
Relative energy among the computed polymorphs ... 0.0 meV per atom
VASP energy ... -4.112 eV per atom

2.
VASP calculation (PBE-GGA) on an optimized crystal structure of CdGe3C.

POSCAR file:
```
CdGe3C
1.0
5.1398 0.0000 0.0000
0.0000 5.1398 0.0000
0.0000 0.0000 5.1398
Cd Ge C
1 3 1
Cartesian
0.0000 0.0000 0.0000
0.0000 0.0000 2.5699
0.0000 2.5699 0.0000
2.5699 0.0000 0.0000
2.5699 2.5699 2.5699
```

Summary:
Relative energy among the computed polymorphs ... 1220.1 meV per atom
VASP energy ... -2.664 eV per atom

3.
VASP calculation (PBE-GGA) on an optimized crystal structure of Cd2Ge2C.

POSCAR file:
```
Cd2Ge2C
1.0
-2.2211 2.2211 5.6594
2.2211 -2.2211 5.6594
2.2211 2.2211 -5.6594
Cd Ge C
2 2 1
Cartesian
2.2211 0.0000 2.8297
0.0000 2.2211 2.8297
0.0000 0.0000 1.1824
0.0000 0.0000 10.1364
0.0000 0.0000 5.6594
```

Summary:
Relative energy among the computed polymorphs ... 664.4 meV per atom
VASP energy ... -2.587 eV per atom

4.
VASP calculation (PBE-GGA) on an optimized crystal structure of CdGe3C.

POSCAR file:
```
CdGe3C
1.0
4.4442 0.0000 0.0000
0.0000 4.4442 0.0000
0.0000 0.0000 4.4442
Cd Ge C
1 3 1
Cartesian
0.0000 0.0000 0.0000
0.0000 2.2221 2.2221
2.2221 0.0000 2.2221
2.2221 2.2221 0.0000
2.2221 2.2221 2.2221
```

Summary:
Relative energy among the computed polymorphs ... 0.0 meV per atom
VASP energy ... -3.884 eV per atom

5.
VASP calculation (PBE-GGA) on an optimized crystal structure of Cd3GeC.

POSCAR file:
```
Cd3GeC
1.0
5.2394 0.0000 0.0000
0.0000 5.2394 0.0000
0.0000 0.0000 5.2394
Cd Ge C
3 1 1
Cartesian
0.0000 0.0000 2.6197
0.0000 2.6197 0.0000
2.6197 0.0000 0.0000
0.0000 0.0000 0.0000
2.6197 2.6197 2.6197
```

Summary:
Relative energy among the computed polymorphs ... 667.1 meV per atom
VASP energy ... -1.793 eV per atom

6.
VASP calculation (PBE-GGA) on an optimized crystal structure of Cd3GeC.

POSCAR file:
```
Cd3GeC
1.0
4.6469 0.0000 0.0000
0.0000 4.6469 0.0000
0.0000 0.0000 4.6469
Cd Ge C
3 1 1
Cartesian
0.0000 0.0000 2.3234
0.0000 2.3234 0.0000
2.3234 0.0000 0.0000
2.3234 2.3234 2.3234
0.0000 0.0000 0.0000
```

Summary:
Relative energy among the computed polymorphs ... 0.0 meV per atom
VASP energy ... -2.461 eV per atom

7.
VASP calculation (PBE-GGA) on an optimized crystal structure of CdGe2C4.

POSCAR file:
```
CdGe2C4
1.0
-2.0793 2.0793 6.0381
2.0793 -2.0793 6.0381
2.0793 2.0793 -6.0381
Cd Ge C
1 2 4
Cartesian
0.0000 0.0000 0.0000
0.0000 0.0000 4.6972
0.0000 0.0000 7.3790
2.0793 0.0000 0.0000
0.0000 0.0000 2.7688
0.0000 2.0793 0.0000
0.0000 0.0000 9.3074
```

Summary:
VASP energy ... -4.069 eV per atom

8.
VASP calculation (PBE-GGA) on an optimized crystal structure of Cd2Ge2C.

POSCAR file:
```
Cd2Ge2C
1.0
5.7190 0.0000 0.0000
0.0000 5.7190 0.0000
0.0000 0.0000 6.0226
Cd Ge C
4 4 2
Cartesian
1.0518 1.8077 0.0000
1.8077 4.6672 0.0000
3.9114 1.0518 0.0000
4.6672 3.9114 0.0000
0.9421 3.8016 3.0113
1.9175 0.9421 3.0113
3.8016 4.7770 3.0113
4.7770 1.9175 3.0113
0.0000 0.0000 3.0113
2.8595 2.8595 3.0113
```

Summary:
Relative energy among the computed polymorphs ... 0.0 meV per atom
VASP energy ... -3.252 eV per atom